Er2Sc3Pb2, relaxed, DFT GGA-PBE; DOS(E_F) = 7.3 states/eV/cell; calculated total energy = -37.617 eV per cell; volume = 27.1 Å³ per atom
1.0
5.827 -2.147 0.000
5.827 2.147 0.000
-2.909 0.000 7.574
Er Sc Pb
2 3 2
Direct
0.129 0.129 0.279 Er
0.871 0.871 0.721 Er
0.383 0.383 0.061 Sc
0.500 0.500 0.500 Sc
0.617 0.617 0.939 Sc
0.168 0.168 0.707 Pb
0.832 0.832 0.293 Pb


ErSc2Pb, relaxed, DFT GGA-PBE; DOS(E_F) = 5.9 states/eV/cell; calculated total energy = -20.521 eV per cell; offset from the most stable computed form = 425 meV/atom; volume = 28.3 Å³ per atom
1.0
1.695 0.978 11.392
-1.695 0.978 11.392
0.000 -1.957 11.392
Er Sc Pb
1 2 1
Direct
0.000 0.000 0.000 Er
0.412 0.412 0.412 Sc
0.588 0.588 0.588 Sc
0.500 0.500 0.500 Pb


Er4ScPb5, relaxed, DFT GGA-PBE; DOS(E_F) = 9.3 states/eV/cell; calculated total energy = -45.740 eV per cell; volume = 29.8 Å³ per atom
1.0
-4.900 4.900 3.105
4.900 -4.900 3.105
4.900 4.900 -3.105
Er Sc Pb
4 1 5
Direct
0.094 0.696 0.790 Er
0.304 0.094 0.398 Er
0.696 0.906 0.602 Er
0.906 0.304 0.210 Er
0.484 0.484 0.000 Sc
0.211 0.399 0.610 Pb
0.399 0.789 0.188 Pb
0.601 0.211 0.812 Pb
0.789 0.601 0.390 Pb
0.982 0.982 0.000 Pb


Er6Sc12Pb, relaxed, DFT GGA-PBE; DOS(E_F) = 39.6 states/eV/cell; calculated total energy = -105.152 eV per cell; volume = 26.9 Å³ per atom
1.0
5.831 3.366 4.346
-5.831 3.366 4.346
0.000 -6.733 4.346
Er Sc Pb
6 12 1
Direct
0.217 0.761 0.380 Er
0.239 0.620 0.783 Er
0.380 0.217 0.761 Er
0.620 0.783 0.239 Er
0.761 0.380 0.217 Er
0.783 0.239 0.620 Er
0.031 0.966 0.713 Sc
0.034 0.287 0.969 Sc
0.125 0.360 0.438 Sc
0.287 0.969 0.034 Sc
0.360 0.438 0.125 Sc
0.438 0.125 0.360 Sc
0.562 0.875 0.640 Sc
0.640 0.562 0.875 Sc
0.713 0.031 0.966 Sc
0.875 0.640 0.562 Sc
0.966 0.713 0.031 Sc
0.969 0.034 0.287 Sc
0.500 0.500 0.500 Pb


Er2ScPb, relaxed, DFT GGA-PBE; DOS(E_F) = 5.2 states/eV/cell; calculated total energy = -20.049 eV per cell; offset from the most stable computed form = 50 meV/atom; volume = 27.3 Å³ per atom
1.0
4.095 0.000 0.000
0.000 4.095 0.000
0.000 0.000 6.509
Er Sc Pb
2 1 1
Direct
0.000 0.000 0.247 Er
0.000 0.000 0.753 Er
0.500 0.500 0.500 Sc
0.500 0.500 0.000 Pb


ErSc2Pb, relaxed, DFT GGA-PBE; DOS(E_F) = 5.2 states/eV/cell; calculated total energy = -21.557 eV per cell; offset from the most stable computed form = 166 meV/atom; volume = 26.1 Å³ per atom
1.0
3.551 0.000 0.000
0.000 3.551 0.000
0.000 0.000 8.287
Er Sc Pb
1 2 1
Direct
0.000 0.000 0.000 Er
0.500 0.500 0.264 Sc
0.500 0.500 0.736 Sc
0.000 0.000 0.500 Pb